Density functional theory data (GGA-PBE) for crystalline Pu3Te2O at its relaxed geometry.

a = 6.2456 Å, b = 8.2917 Å, c = 7.1676 Å
α = 102.85°, β = 115.83°, γ = 90.00°
Element x y z (fractional)
Pu (0.5365, 0.7500, 0.0000)
Pu (0.1414, 0.6180, 0.2490)
Pu (0.1076, 0.1180, 0.2490)
Pu (0.4635, 0.2500, 0.0000)
Pu (0.8586, 0.3820, 0.7510)
Pu (0.8924, 0.8820, 0.7510)
O (0.1089, 0.2500, 0.0000)
O (0.8911, 0.7500, 0.0000)
Te (0.6673, 0.0724, 0.3651)
Te (0.3023, 0.4276, 0.6349)
Te (0.6977, 0.5724, 0.3651)
Te (0.3327, 0.9276, 0.6349)

uncorrected energy	-125.3	eV for the cell shown
symmetry	No. 15

Density functional theory data (GGA-PBE) for crystalline PmAuBr at its relaxed geometry.

a = 4.6981 Å, b = 4.6981 Å, c = 10.0398 Å
α = 76.47°, β = 76.47°, γ = 60.00°
Element x y z (fractional)
Pm (0.4414, 0.4414, 0.6759)
Pm (0.5586, 0.5586, 0.3241)
Au (0.8351, 0.8351, 0.4948)
Au (0.1649, 0.1649, 0.5052)
Br (0.7192, 0.7192, 0.8424)
Br (0.2808, 0.2808, 0.1576)

uncorrected energy	-26.4	eV for the cell shown
symmetry	No. 166

Density functional theory data (GGA-PBE) for crystalline AcZrAg at its relaxed geometry.

a = 3.7129 Å, b = 3.7066 Å, c = 14.5866 Å
α = 90.00°, β = 90.00°, γ = 120.06°
Element x y z (fractional)
Ac (0.6116, 0.2232, 0.3219)
Ac (0.6116, 0.2232, 0.6781)
Zr (0.2775, 0.5550, 0.8665)
Zr (0.2775, 0.5550, 0.1335)
Ag (0.6112, 0.2225, 0.0000)
Ag (0.2771, 0.5543, 0.5000)

DFT formation energy	0.26	eV per atom
uncorrected energy	-29.5	eV for the cell shown
symmetry	No. 38

Density functional theory data (GGA-PBE) for crystalline BaZnAg2Hg at its relaxed geometry.

a = 5.3624 Å, b = 6.2613 Å, c = 5.3624 Å
α = 90.00°, β = 90.00°, γ = 90.00°
Element x y z (fractional)
Zn (0.5000, 0.5000, 0.5000)
Ag (0.5000, 0.0000, 0.0000)
Ag (0.0000, 0.0000, 0.5000)
Ba (0.0000, 0.5000, 0.0000)
Hg (0.0000, 0.0000, 0.0000)

DFT formation energy	0.29	eV per atom
uncorrected energy	-7.8	eV for the cell shown
symmetry	No. 123